Entry 1:
This record from Alexandria via LeMat-Bulk describes AlB3H12 at its PBEsol-relaxed geometry. The functional is SCAN.

Unit cell a=16.6810 b=5.7950 c=5.6878 alpha=90.00 beta=90.00 gamma=90.00
Last column: nearest neighbours and their distance in Å.
Space group Pna2_1 (No. 33)
Symmetry-distinct sites (fractional):
Al1 0.1398 0.1609 0.0000 x4  7 H 1.78-1.95, 1 B 1.99
B1 0.0886 0.4393 0.8606 x4  4 H 1.20-1.25
B2 0.0940 0.9903 0.3039 x4  4 H 1.21-1.27
B3 0.2293 0.9480 0.8444 x4  4 H 1.21-1.26
H1 0.0438 0.1020 0.4063 x4  1 B 1.21
H2 0.0531 0.2574 0.8040 x4  1 B 1.25
H3 0.0560 0.6056 0.7815 x4  1 B 1.20
H4 0.0674 0.9531 0.0996 x4  1 B 1.26
H5 0.0898 0.4466 0.0805 x4  1 B 1.25
H6 0.1142 0.8043 0.3780 x4  1 B 1.21
H7 0.1571 0.1115 0.3051 x4  1 B 1.27
H8 0.1591 0.4213 0.7911 x4  1 B 1.25
H9 0.1589 0.9561 0.7649 x4  1 B 1.26
H10 0.2287 0.4648 0.1715 x4  1 B 1.21
H11 0.2353 0.7810 0.9702 x4  1 B 1.21
H12 0.2471 0.1254 0.9621 x4  1 B 1.26

**N(E_F)**: 0.000 states/eV per cell
**VASP energy**: -4.58 eV/atom
**Density**: 0.86 g/cm3


Entry 2:
This record from Alexandria via LeMat-Bulk describes Cr2TcMo at its PBEsol-relaxed geometry. The functional is SCAN.

Unit cell a=2.9343 b=2.9343 c=6.0025 alpha=90.00 beta=90.00 gamma=90.00
Last column: nearest neighbours and their distance in Å.
Space group P4mm (No. 99)
Symmetry-distinct sites (fractional):
Cr1 0.0000 0.0000 0.0000 x1  4 Cr 2.47, 4 Tc 2.55
Cr2 0.5000 0.5000 0.2230 x1  4 Cr 2.47, 4 Mo 2.55
Tc1 0.5000 0.5000 0.7530 x1  5 Cr 2.55-2.82, 4 Mo 2.68
Mo1 0.0000 0.0000 0.4707 x1  5 Cr 2.55-2.83, 4 Tc 2.68

**N(E_F)**: 3.635 states/eV per cell
**Formation energy**: 0.23 eV/f.u.
**Density**: 9.57 g/cm3
**Excess energy over the best structure of this formula in the dataset**: 72 meV/atom


Entry 3:
This record from Alexandria via LeMat-Bulk describes MgAg2W at its PBEsol-relaxed geometry. The functional is SCAN.

Unit cell a=2.7780 b=2.7780 c=8.5564 alpha=90.00 beta=90.00 gamma=90.00
Last column: nearest neighbours and their distance in Å.
Space group P4mm (No. 99)
Symmetry-distinct sites (fractional):
Mg1 0.0000 0.0000 0.0000 x1  4 Mg 2.78, 4 Ag 2.91, 4 W 2.92
Ag1 0.0000 0.0000 0.4992 x1  8 Ag 2.78-2.91, 4 W 2.88
Ag2 0.5000 0.5000 0.7494 x1  8 Ag 2.78-2.91, 4 Mg 2.91
W1 0.5000 0.5000 0.2525 x1  4 W 2.78, 4 Ag 2.88, 4 Mg 2.92

**N(E_F)**: 1.734 states/eV per cell
**Formation energy**: 1.23 eV/f.u.
**Density**: 10.66 g/cm3